[1]
Entry from Alexandria via LeMat-Bulk: TaSbPt at its PBEsol-relaxed geometry (meta-GGA SCAN).

Summary:
Size of the total moment   0.00 μB/atom
Total DFT energy (no corrections)   -58.17 eV per atom
Formation energy without anion corrections   -0.158 eV/atom
Fermi-level density of states   0.74 states/eV/cell
Crystal system   tetragonal

Unit cell a=6.1927 b=6.1927 c=6.1927 alpha=151.05 beta=151.05 gamma=41.40
Element x y z (fractional)
Ta (0.0000, 0.0000, 0.0000)
Sb (0.3211, 0.3211, 0.0000)
Pt (0.6387, 0.6387, 0.0000)

---

[2]
Entry from Alexandria via LeMat-Bulk: KTa2Te at its PBEsol-relaxed geometry (meta-GGA SCAN).

Summary:
Size of the total moment   0.15 μB/atom
Total DFT energy (no corrections)   -43.78 eV per atom
Formation energy without anion corrections   0.911 eV/atom
Fermi-level density of states   2.95 states/eV/cell
Crystal system   orthorhombic

Unit cell a=6.3552 b=6.3552 c=6.3552 alpha=151.30 beta=124.01 gamma=64.12
Element x y z (fractional)
K (0.0000, 0.0000, 0.0000)
Ta (0.3053, 0.8053, 0.5000)
Ta (0.4997, 0.4997, 0.0000)
Te (0.7180, 0.2180, 0.5000)

---

[3]
Entry from Alexandria via LeMat-Bulk: LuCdAg2 at its PBEsol-relaxed geometry (meta-GGA SCAN).

Summary:
Size of the total moment   0.00 μB/atom
Total DFT energy (no corrections)   -37.42 eV per atom
DFT formation energy   -0.30 eV/atom
Fermi-level density of states   1.95 states/eV/cell
Crystal system   cubic

Unit cell a=4.7764 b=4.7764 c=4.7764 alpha=60.00 beta=60.00 gamma=60.00
Element x y z (fractional)
Lu (0.0000, 0.0000, 0.0000)
Cd (0.5000, 0.5000, 0.5000)
Ag (0.2500, 0.2500, 0.2500)
Ag (0.7500, 0.7500, 0.7500)

---

[4]
Entry from Alexandria via LeMat-Bulk: BeFeCu at its PBEsol-relaxed geometry (meta-GGA SCAN).

Summary:
Size of the total moment   0.99 μB/atom
Total DFT energy (no corrections)   -12.10 eV per atom
DFT formation energy   0.46 eV/atom
Fermi-level density of states   0.68 states/eV/cell
Crystal system   cubic

Unit cell a=3.7249 b=3.7249 c=3.7249 alpha=60.00 beta=60.00 gamma=60.00
Element x y z (fractional)
Be (0.0000, 0.0000, 0.0000)
Fe (0.5000, 0.5000, 0.5000)
Cu (0.2500, 0.2500, 0.2500)

---

[5]
Entry from Alexandria via LeMat-Bulk: YTaFe2 at its PBEsol-relaxed geometry (meta-GGA SCAN).

Summary:
Size of the total moment   0.17 μB/atom
Total DFT energy (no corrections)   -32.62 eV per atom
DFT formation energy   0.05 eV/atom
Fermi-level density of states   1.96 states/eV/cell
Crystal system   tetragonal

Unit cell a=3.0750 b=3.0750 c=6.5463 alpha=90.00 beta=90.00 gamma=90.00
Element x y z (fractional)
Y (0.0000, 0.0000, 0.0000)
Ta (0.0000, 0.0000, 0.5000)
Fe (0.5000, 0.5000, 0.2877)
Fe (0.5000, 0.5000, 0.7123)

---

[6]
Entry from Alexandria via LeMat-Bulk: FeMoRu2 at its PBEsol-relaxed geometry (meta-GGA SCAN).

Summary:
Size of the total moment   0.50 μB/atom
Total DFT energy (no corrections)   -30.46 eV per atom
DFT formation energy   0.20 eV/atom
Energy relative to the lowest polymorph listed for this composition   107.7 meV/atom
Fermi-level density of states   4.26 states/eV/cell
Crystal system   tetragonal

Unit cell a=2.6501 b=2.6501 c=7.3893 alpha=90.00 beta=90.00 gamma=90.00
Element x y z (fractional)
Fe (0.0000, 0.0000, 0.0000)
Mo (0.5000, 0.5000, 0.2412)
Ru (0.0000, 0.0000, 0.5186)
Ru (0.5000, 0.5000, 0.7703)